Below is Ho2LuH after structural relaxation, with properties calculated at the PBE-GGA level.

abc: 8.575 8.575 8.575
angles: 23.98 23.98 23.98
Sites, in units of the cell vectors:
Ho  0.221  0.221  0.221
Ho  0.779  0.779  0.779
Lu  0.000  0.000  0.000
H  0.500  0.500  0.500

M_tot, μB per formula unit: 0.0
DFT total energy, eV/atom: -4.442
Space group: R-3m, No. 166